one:
The following is a DFT calculation (PBE) of a relaxed Pa2TiAs crystal.

Properties
Its theoretical density is 11.926 g/cm3. Its crystal system is tetragonal.

Cell: 4.254 4.254 4.501 Å, 90.00 90.00 90.00°
Sites, in units of the cell vectors:
1 Pa 0.000 0.500 0.000
2 Pa 0.500 0.000 0.000
3 Ti 0.000 0.000 0.500
4 As 0.500 0.500 0.500

two:
The following is a DFT calculation (PBE) of a relaxed Pa2TiAs crystal.

Properties
Its theoretical density is 11.053 g/cm3. Its crystal system is trigonal.

Cell: 4.853 4.853 4.853 Å, 63.96 63.96 63.96°
Sites, in units of the cell vectors:
1 Pa 0.246 0.246 0.246
2 Pa 0.754 0.754 0.754
3 Ti 0.000 0.000 0.000
4 As 0.500 0.500 0.500

Here are the energies relative to the best structure, in meV per atom: one 0; two 359.